No. 1
A geometry-optimized Ba4ZnGa structure, computed with GGA-PBE.

Formation enthalpy at 0 K = -0.0908 eV per atom
Relative energy among the computed polymorphs = 109 meV/atom
Total energy = -12.5 eV/cell
Density of states at the Fermi level = 9.08 states/eV/cell

Unit cell a=5.782 b=5.782 c=8.306 alpha=90.00 beta=90.00 gamma=90.00
Space group P4/mmm (No. 123)
Symmetry-distinct sites (fractional):
Ba1 0.000 0.500 0.242 x4
Zn1 0.000 0.000 0.500 x1
Ga1 0.500 0.500 0.000 x1


No. 2
A geometry-optimized Ba2Zn3Ga structure, computed with GGA-PBE.

Formation enthalpy at 0 K = -0.2544 eV per atom
Relative energy among the computed polymorphs = 0 meV/atom
Total energy = -24.4 eV/cell
Density of states at the Fermi level = 8.12 states/eV/cell

Unit cell a=12.445 b=4.498 c=7.814 alpha=90.00 beta=128.19 gamma=90.00
Space group Cm (No. 8)
Symmetry-distinct sites (fractional):
Ba1 0.000 0.000 0.000 x2
Ba2 0.112 0.000 0.612 x2
Zn1 0.243 0.500 0.404 x2
Zn2 0.364 0.000 0.195 x2
Zn3 0.368 0.000 0.539 x2
Ga1 0.241 0.500 0.066 x2


- What is the formula in the first record?
  Ba4ZnGa


What did the second record say?
A geometry-optimized Ba2Zn3Ga structure, computed with GGA-PBE.

Formation enthalpy at 0 K = -0.2544 eV per atom
Relative energy among the computed polymorphs = 0 meV/atom
Total energy = -24.4 eV/cell
Density of states at the Fermi level = 8.12 states/eV/cell

Unit cell a=12.445 b=4.498 c=7.814 alpha=90.00 beta=128.19 gamma=90.00
Space group Cm (No. 8)
Symmetry-distinct sites (fractional):
Ba1 0.000 0.000 0.000 x2
Ba2 0.112 0.000 0.612 x2
Zn1 0.243 0.500 0.404 x2
Zn2 0.364 0.000 0.195 x2
Zn3 0.368 0.000 0.539 x2
Ga1 0.241 0.500 0.066 x2


- Which formula does entry 1 have?
  Ba4ZnGa